(1)
Computed, not measured: a geometry-optimized LaYP2 structure at the GGA-PBE level of DFT.

Geometry as CIF:
```
data_LaYP2
_space_group_name_H-M_alt 'P 1'
_space_group_IT_number 1
_cell_length_a 5.154
_cell_length_b 5.154
_cell_length_c 5.154
_cell_angle_alpha 128.10
_cell_angle_beta 113.70
_cell_angle_gamma 88.91
loop_
_space_group_symop_operation_xyz
'x,y,z'
loop_
_atom_site_label
_atom_site_fract_x
_atom_site_fract_y
_atom_site_fract_z
La1 0.750 0.250 0.500
P1 0.008 0.008 0.000
P2 0.492 0.492 0.000
Y1 0.250 0.750 0.500
```



(2)
Computed, not measured: a geometry-optimized La2YP structure at the GGA-PBE level of DFT.

Geometry as CIF:
```
data_La2YP
_space_group_name_H-M_alt 'P 1'
_space_group_IT_number 1
_cell_length_a 4.662
_cell_length_b 4.662
_cell_length_c 4.813
_cell_angle_alpha 90.00
_cell_angle_beta 90.00
_cell_angle_gamma 90.00
loop_
_space_group_symop_operation_xyz
'x,y,z'
loop_
_atom_site_label
_atom_site_fract_x
_atom_site_fract_y
_atom_site_fract_z
La1 0.000 0.500 0.000
La2 0.500 0.000 0.000
Y1 0.000 0.000 0.500
P1 0.500 0.500 0.500
```



(3)
Computed, not measured: a geometry-optimized La2YP structure at the GGA-PBE level of DFT.

Geometry as CIF:
```
data_La2YP
_space_group_name_H-M_alt 'P 1'
_space_group_IT_number 1
_cell_length_a 3.750
_cell_length_b 3.750
_cell_length_c 8.549
_cell_angle_alpha 90.00
_cell_angle_beta 90.00
_cell_angle_gamma 90.00
loop_
_space_group_symop_operation_xyz
'x,y,z'
loop_
_atom_site_label
_atom_site_fract_x
_atom_site_fract_y
_atom_site_fract_z
La1 0.000 0.000 0.813
La2 0.000 0.000 0.187
Y1 0.500 0.500 0.500
P1 0.500 0.500 0.000
```



no.,excess energy over the best structure of this formula in the dataset (eV per atom),formation energy (eV per atom)
1,0.4237,-1.168
2,0.1908,-0.430
3,0.0666,-0.554